(1)
# HgRhSe2

A geometry-optimized HgRhSe2 structure (PBE, Alexandria).

Calculated values
**E**: -62.19 eV for the cell shown
**Theoretical density**: 8.04 g/cm3
**Uncorrected formation energy**: -0.231 eV per atom

CIF file:
```
data_HgRhSe2
_symmetry_space_group_name_H-M 'P 1 21/c 1'
_symmetry_Int_Tables_number 14
_symmetry_space_group_name_Hall '-P 2ybc'
_cell_length_a 7.566
_cell_length_b 3.727
_cell_length_c 13.915
_cell_angle_alpha 90.00
_cell_angle_beta 103.82
_cell_angle_gamma 90.00
loop_
_atom_site_label
_atom_site_type_symbol
_atom_site_fract_x
_atom_site_fract_y
_atom_site_fract_z
Hg1 Hg 0.190 0.250 0.467
Rh1 Rh 0.314 0.248 0.165
Se1 Se 0.111 0.748 0.183
Se2 Se 0.473 0.248 0.347
```

=====

(2)
# Hg2RhSe

A geometry-optimized Hg2RhSe structure (PBE, Alexandria).

Calculated values
**E**: -35.52 eV for the cell shown
**Theoretical density**: 10.68 g/cm3
**Uncorrected formation energy**: -0.100 eV per atom

CIF file:
```
data_Hg2RhSe
_symmetry_space_group_name_H-M 'R 3 m'
_symmetry_Int_Tables_number 160
_symmetry_space_group_name_Hall 'R 3 -2"'
_cell_length_a 3.5208
_cell_length_b 3.5208
_cell_length_c 25.3218
_cell_angle_alpha 90.00
_cell_angle_beta 90.00
_cell_angle_gamma 120.00
loop_
_atom_site_label
_atom_site_type_symbol
_atom_site_fract_x
_atom_site_fract_y
_atom_site_fract_z
Hg1 Hg 0.0000 0.0000 0.0000
Hg2 Hg 0.0000 0.0000 0.2397
Rh1 Rh 0.0000 0.0000 0.7487
Se1 Se 0.0000 0.0000 0.4660
```

=====

(3)
# HgRhSe2

A geometry-optimized HgRhSe2 structure (PBE, Alexandria).

Calculated values
**E**: -14.20 eV for the cell shown
**Theoretical density**: 9.31 g/cm3
**Uncorrected formation energy**: 0.105 eV per atom

CIF file:
```
data_HgRhSe2
_symmetry_space_group_name_H-M 'P 4/m m m'
_symmetry_Int_Tables_number 123
_symmetry_space_group_name_Hall '-P 4 2'
_cell_length_a 3.875
_cell_length_b 3.875
_cell_length_c 5.480
_cell_angle_alpha 90.00
_cell_angle_beta 90.00
_cell_angle_gamma 90.00
loop_
_atom_site_label
_atom_site_type_symbol
_atom_site_fract_x
_atom_site_fract_y
_atom_site_fract_z
Hg1 Hg 0.000 0.000 0.000
Rh1 Rh 0.500 0.500 0.500
Se1 Se 0.000 0.000 0.500
Se2 Se 0.500 0.500 0.000
```

=====

(4)
# Hg2RhSe

A geometry-optimized Hg2RhSe structure (PBE, Alexandria).

Calculated values
**E**: -23.17 eV for the cell shown
**Theoretical density**: 11.01 g/cm3
**Uncorrected formation energy**: -0.036 eV per atom

CIF file:
```
data_Hg2RhSe
_symmetry_space_group_name_H-M 'I m m 2'
_symmetry_Int_Tables_number 44
_symmetry_space_group_name_Hall 'I 2 -2'
_cell_length_a 3.041
_cell_length_b 4.771
_cell_length_c 12.123
_cell_angle_alpha 90.00
_cell_angle_beta 90.00
_cell_angle_gamma 90.00
loop_
_atom_site_label
_atom_site_type_symbol
_atom_site_fract_x
_atom_site_fract_y
_atom_site_fract_z
Hg1 Hg 0.000 0.000 0.000
Hg2 Hg 0.000 0.500 0.173
Rh1 Rh 0.000 0.500 0.703
Se1 Se 0.000 0.000 0.361
```